(1)
A plane-wave DFT calculation with GGA-PBE was carried out for CaDyYEr after structural relaxation.

The calculation puts the total magnetic moment at 0.00 μB/cell. As for the electronic total energy: -4.24 eV/atom. As for the formation energy: 168 meV/atom. As for the space-group type: No. 216.

Unit cell a=5.734 b=5.734 c=5.734 alpha=60.00 beta=60.00 gamma=60.00
Sites, in units of the cell vectors:
Dy 0.000 0.000 0.000
Y 0.500 0.500 0.500
Er 0.750 0.750 0.750
Ca 0.250 0.250 0.250



(2)
A plane-wave DFT calculation with GGA-PBE was carried out for Ca2EuDy after structural relaxation.

The calculation puts the total magnetic moment at 6.83 μB/cell. As for the electronic total energy: -4.47 eV/atom. As for the formation energy: 246 meV/atom. As for the space-group type: No. 166.

Unit cell a=3.661 b=3.661 c=13.587 alpha=82.26 beta=82.26 gamma=60.00
Sites, in units of the cell vectors:
Ca 0.085 0.085 0.744
Ca 0.915 0.915 0.256
Eu 0.500 0.500 0.500
Dy 0.000 0.000 0.000



(3)
A plane-wave DFT calculation with GGA-PBE was carried out for Ca5Eu3Dy12 after structural relaxation.

The calculation puts the total magnetic moment at 103.14 μB/cell. As for the electronic total energy: -3.86 eV/atom. As for the formation energy: 946 meV/atom. As for the space-group type: No. 230.

Unit cell a=17.178 b=17.178 c=17.178 alpha=109.47 beta=109.47 gamma=109.47
Sites, in units of the cell vectors:
Eu 0.250 0.625 0.875
Eu 0.750 0.875 0.625
Eu 0.375 0.625 0.250
Eu 0.875 0.125 0.250
Eu 0.125 0.875 0.750
Eu 0.750 0.375 0.125
Eu 0.875 0.750 0.125
Eu 0.625 0.375 0.750
Eu 0.125 0.250 0.875
Eu 0.375 0.750 0.625
Eu 0.625 0.250 0.375
Eu 0.250 0.125 0.375
Dy 0.351 0.912 0.772
Dy 0.649 0.088 0.228
Dy 0.859 0.939 0.088
Dy 0.772 0.359 0.920
Dy 0.412 0.641 0.061
Dy 0.728 0.149 0.088
Dy 0.420 0.272 0.359
Dy 0.439 0.351 0.580
Dy 0.772 0.412 0.351
Dy 0.141 0.061 0.912
Dy 0.561 0.912 0.641
Dy 0.859 0.920 0.272
Dy 0.061 0.141 0.412
Dy 0.359 0.772 0.420
Dy 0.920 0.859 0.772
Dy 0.580 0.728 0.641
Dy 0.649 0.561 0.920
Dy 0.728 0.580 0.141
Dy 0.420 0.149 0.561
Dy 0.080 0.141 0.228
Dy 0.641 0.412 0.561
Dy 0.080 0.939 0.351
Dy 0.939 0.080 0.851
Dy 0.272 0.420 0.859
Dy 0.228 0.588 0.649
Dy 0.149 0.728 0.588
Dy 0.272 0.851 0.912
Dy 0.061 0.920 0.149
Dy 0.912 0.351 0.272
Dy 0.588 0.228 0.149
Dy 0.359 0.588 0.439
Dy 0.851 0.580 0.939
Dy 0.851 0.272 0.412
Dy 0.920 0.061 0.649
Dy 0.088 0.649 0.728
Dy 0.141 0.080 0.728
Dy 0.912 0.561 0.141
Dy 0.580 0.851 0.439
Dy 0.412 0.772 0.851
Dy 0.588 0.359 0.939
Dy 0.561 0.649 0.420
Dy 0.641 0.228 0.580
Dy 0.939 0.859 0.588
Dy 0.149 0.420 0.061
Dy 0.439 0.088 0.359
Dy 0.228 0.641 0.080
Dy 0.351 0.439 0.080
Dy 0.088 0.439 0.859
Ca 0.000 0.500 0.000
Ca 0.375 0.125 0.750
Ca 0.375 0.250 0.125
Ca 0.625 0.750 0.875
Ca 0.500 0.000 0.000
Ca 0.500 0.500 0.500
Ca 0.750 0.125 0.875
Ca 0.250 0.375 0.625
Ca 0.500 0.500 0.000
Ca 0.000 0.000 0.000
Ca 0.875 0.250 0.625
Ca 0.750 0.625 0.375
Ca 0.250 0.875 0.125
Ca 0.000 0.000 0.500
Ca 0.000 0.500 0.500
Ca 0.875 0.625 0.750
Ca 0.125 0.750 0.375
Ca 0.500 0.000 0.500
Ca 0.125 0.375 0.250
Ca 0.625 0.875 0.250